## UFeNi2O6 (GGA+U)

Data for crystalline UFeNi2O6 at its relaxed geometry.

Unit cell a=5.2738 b=5.3054 c=5.6923 alpha=62.66 beta=63.00 gamma=60.27
Space group P1 (No. 1)
One atom of each set of equivalent atoms:
U  0.0000  0.0000  0.0000 [1 per cell]
Fe  0.5044  0.5030  0.4853 [1 per cell]
Ni  0.3055  0.3071  0.0838 [1 per cell]
Ni  0.7978  0.7985  0.6018 [1 per cell]
O  0.0871  0.7110  0.7963 [1 per cell]
O  0.2076  0.5973  0.2879 [1 per cell]
O  0.4053  0.0872  0.7944 [1 per cell]
O  0.6027  0.9136  0.2824 [1 per cell]
O  0.7053  0.4081  0.7876 [1 per cell]
O  0.9158  0.2026  0.2819 [1 per cell]

Summary:
**Electronic total energy**: -71.090 eV/cell
**M_tot**: 0.80 μB/atom